## CoAg4Au (PBE)

Data for an optimized crystal structure of CoAg4Au.

Its energy is -3.13 eV per atom. As for the magnetic moment: 1.9 μB/cell. The calculation puts the formation energy at 498 meV/atom.

Unit cell a=5.375 b=5.375 c=5.375 alpha=60.00 beta=60.00 gamma=60.00
Last column: magnetic moment on the atom in μB.
Element x y z (fractional)
Ag  0.375  0.375  0.375  0.00
Ag  0.375  0.375  0.876  0.00
Ag  0.876  0.375  0.375  0.00
Ag  0.375  0.876  0.375  0.00
Au  0.750  0.750  0.750  0.01
Co  0.000  0.000  0.000  1.98